Density functional theory data (PBE with a Hubbard U) for a geometry-optimized MnSnN2O structure.

- Final energy: -0.218 Ha/atom
- DOS(E_F): 3.17 states/eV/f.u.
- Calculated density: 5.17 Mg/m³

Unit cell a=4.1258 b=4.1258 c=4.1099 alpha=90.00 beta=90.00 gamma=90.00
With the nearest neighbours (Å) after each atom.
Space group P4/mmm (No. 123)
Asymmetric unit:
Mn  0.0000  0.0000  0.0000 [1 per cell]  8 N 2.91, 4 O 2.92
Sn  0.5000  0.5000  0.5000 [1 per cell]  2 O 2.05, 4 N 2.06
N  0.0000  0.5000  0.5000 [2 per cell]  2 Sn 2.06
O  0.5000  0.5000  0.0000 [1 per cell]  2 Sn 2.05